1.
Below is AgBrN2F after structural relaxation, with properties calculated at the PBE-GGA level.

The structure in POSCAR format:
```
AgBrN2F
1.0
3.8210 0.0000 0.0000
0.0000 3.8210 0.0000
0.0000 0.0000 5.3133
N Br Ag F
2 1 1 1
Direct
0.0000 0.5000 0.0000 N
0.5000 0.0000 0.0000 N
0.0000 0.0000 0.0000 Br
0.5000 0.5000 0.5000 Ag
0.0000 0.0000 0.5000 F
```

Computed properties:
Space group: P4/mmm
ρ in g/cm³: 5.0
Formation energy without anion corrections in meV/atom: 1606

2.
Below is AgBrN2F after structural relaxation, with properties calculated at the PBE-GGA level.

The structure in POSCAR format:
```
AgBrN2F
1.0
4.3088 0.0000 0.0000
0.0000 4.3088 0.0000
0.0000 0.0000 4.2388
N Br Ag F
2 1 1 1
Direct
0.0000 0.5000 0.0000 N
0.5000 0.0000 0.0000 N
0.5000 0.5000 0.5000 Br
0.0000 0.0000 0.0000 Ag
0.0000 0.0000 0.5000 F
```

Computed properties:
Space group: P4/mmm
ρ in g/cm³: 5.0
Formation energy without anion corrections in meV/atom: 1535

3.
Below is Na2AgBr2F2 after structural relaxation, with properties calculated at the PBE-GGA level.

The structure in POSCAR format:
```
Na2AgBr2F2
1.0
4.4515 0.0000 0.0000
0.0000 4.4515 0.0000
-2.2258 -2.2258 7.7440
Na Ag Br F
2 1 2 2
Direct
0.3865 0.3865 0.7731 Na
0.6135 0.6135 0.2269 Na
0.0000 0.0000 0.0000 Ag
0.1698 0.1698 0.3396 Br
0.8302 0.8302 0.6604 Br
0.0000 0.5000 0.0000 F
0.5000 0.0000 0.0000 F
```

Computed properties:
Space group: I4/mmm
ρ in g/cm³: 3.8
Formation energy without anion corrections in meV/atom: -1428

4.
Below is Na2AgBrF2 after structural relaxation, with properties calculated at the PBE-GGA level.

The structure in POSCAR format:
```
Na2AgBrF2
1.0
-3.5713 2.0512 1.2491
0.8295 -1.0472 4.0912
4.5590 4.6408 -2.0002
Na Ag Br F
2 1 1 2
Direct
0.2500 0.7500 0.5000 Na
0.7500 0.2500 0.5000 Na
0.0000 0.0000 0.0000 Ag
0.5000 0.5000 0.0000 Br
0.8000 0.8000 0.6000 F
0.2000 0.2000 0.4000 F
```

Computed properties:
Space group: I4/mmm
ρ in g/cm³: 4.0
Formation energy without anion corrections in meV/atom: -1820

5.
Below is NpAg3Br6F2 after structural relaxation, with properties calculated at the PBE-GGA level.

The structure in POSCAR format:
```
NpAg3Br6F2
1.0
-5.2631 -1.4439 -4.2709
0.9561 -7.4857 1.3525
-2.4223 4.6493 5.7154
Np Ag Br F
1 3 6 2
Direct
0.5000 0.0000 0.0000 Np
0.0000 0.5000 0.0000 Ag
0.5000 0.5000 0.5000 Ag
0.5000 0.0000 0.5000 Ag
0.7572 0.3733 0.2429 Br
0.2428 0.6267 0.7571 Br
0.7530 0.8828 0.7656 Br
0.2470 0.1172 0.2344 Br
0.2428 0.1304 0.7571 Br
0.7572 0.8696 0.2429 Br
0.2816 0.6440 0.2880 F
0.7184 0.3560 0.7120 F
```

Computed properties:
Space group: C2/m
ρ in g/cm³: 5.4
Formation energy without anion corrections in meV/atom: -906

6.
Below is AgBrO2F after structural relaxation, with properties calculated at the PBE-GGA level.

The structure in POSCAR format:
```
AgBrO2F
1.0
3.7987 0.0000 0.0000
0.0000 3.7987 0.0000
0.0000 0.0000 5.4496
O Br Ag F
2 1 1 1
Direct
0.0000 0.5000 0.0000 O
0.5000 0.0000 0.0000 O
0.0000 0.0000 0.0000 Br
0.5000 0.5000 0.5000 Ag
0.0000 0.0000 0.5000 F
```

Computed properties:
Space group: P4/mmm
ρ in g/cm³: 5.0
Formation energy without anion corrections in meV/atom: 146

7.
Below is AgBrOF2 after structural relaxation, with properties calculated at the PBE-GGA level.

The structure in POSCAR format:
```
AgBrOF2
1.0
4.5277 0.0000 0.0000
0.0000 4.5277 0.0000
0.0000 0.0000 4.0112
O Br Ag F
1 1 1 2
Direct
0.0000 0.0000 0.5000 O
0.0000 0.0000 0.0000 Br
0.5000 0.5000 0.5000 Ag
0.0000 0.5000 0.0000 F
0.5000 0.0000 0.0000 F
```

Computed properties:
Space group: P4/mmm
ρ in g/cm³: 4.9
Formation energy without anion corrections in meV/atom: -132

8.
Below is Ag6BrOF2 after structural relaxation, with properties calculated at the PBE-GGA level.

The structure in POSCAR format:
```
Ag6BrOF2
1.0
6.2955 0.0000 0.9623
0.0000 6.2761 0.0000
-1.6947 -3.1380 4.5850
Ag Br O F
6 1 1 2
Direct
0.2982 0.6710 0.3420 Ag
0.1334 0.1092 0.7665 Ag
0.8666 0.3427 0.2335 Ag
0.1334 0.6573 0.7665 Ag
0.8666 0.8908 0.2335 Ag
0.7018 0.3290 0.6580 Ag
0.5000 0.0000 0.0000 Br
0.0000 0.5000 0.0000 O
0.3493 0.3098 0.6195 F
0.6507 0.6902 0.3805 F
```

Computed properties:
Space group: C2/m
ρ in g/cm³: 6.8
Formation energy without anion corrections in meV/atom: -372

Q: Among the records above, which one has the highest formation energy without anion corrections?
A: number 1

Q: The lowest formation energy without anion corrections belongs to which entry?
A: Na2AgBrF2

Q: Which of these has the highest ρ?
A: Ag6BrOF2